1.
Tm4GaSe2S PBE-GGA relaxed; space group = P2/m; density of states at the Fermi level = 2.8 states/eV/cell
1.0
6.967 0.000 0.000
0.000 3.938 0.000
-2.278 0.000 6.672
Tm Ga Se S
4 1 2 1
Direct
0.246 0.000 0.232 Tm
0.254 0.500 0.761 Tm
0.746 0.500 0.239 Tm
0.754 0.000 0.768 Tm
0.500 0.000 0.000 Ga
0.000 0.000 0.500 Se
0.500 0.500 0.500 Se
0.000 0.500 0.000 S

---

2.
Tm6GaSe2S3 PBE-GGA relaxed; space group = C2/m; density of states at the Fermi level = 4.6 states/eV/cell
1.0
3.444 -5.936 0.000
3.444 5.936 0.000
-2.282 0.000 6.431
Tm Ga Se S
6 1 2 3
Direct
0.086 0.409 0.759 Tm
0.236 0.236 0.240 Tm
0.409 0.086 0.759 Tm
0.591 0.914 0.241 Tm
0.764 0.764 0.760 Tm
0.914 0.591 0.241 Tm
0.000 0.000 0.500 Ga
0.334 0.666 0.500 Se
0.666 0.334 0.500 Se
0.171 0.829 0.000 S
0.500 0.500 0.000 S
0.829 0.171 0.000 S

---

3.
Y6GaSe3S2 PBE-GGA relaxed; space group = C2/m; density of states at the Fermi level = 5.1 states/eV/cell
1.0
3.501 -6.040 0.000
3.501 6.040 0.000
-2.321 0.000 6.705
Y Ga Se S
6 1 3 2
Direct
0.088 0.422 0.766 Y
0.244 0.244 0.233 Y
0.422 0.088 0.766 Y
0.578 0.912 0.234 Y
0.756 0.756 0.767 Y
0.912 0.578 0.234 Y
0.500 0.500 0.000 Ga
0.000 0.000 0.500 Se
0.333 0.667 0.500 Se
0.667 0.333 0.500 Se
0.167 0.833 0.000 S
0.833 0.167 0.000 S

---

| no. | total DFT energy (no corrections) (eV per atom) |
| --- | --- |
| 1 | -5.49 |
| 2 | -5.74 |
| 3 | -6.74 |